Here is a relaxed YFeBIr crystal from the Open Quantum Materials Database. Energies are from GGA-PBE.

Output
Uncorrected energy (eV/atom): -7.0873

a b c (Å): 4.319 4.319 4.319
angles (deg): 60.00 60.00 60.00
Fractional coordinates of all 4 atoms:
B (0.000, 0.000, 0.000)
Fe (0.750, 0.750, 0.750)
Ir (0.250, 0.250, 0.250)
Y (0.500, 0.500, 0.500)

---

Here is a relaxed Gd3Mg3Al2Au crystal from the Open Quantum Materials Database. Energies are from GGA-PBE.

Output
Uncorrected energy (eV/atom): -3.7232

a b c (Å): 7.463 7.463 4.447
angles (deg): 90.00 90.00 120.00
Fractional coordinates of all 9 atoms:
Al (0.667, 0.333, 0.500)
Al (0.333, 0.667, 0.500)
Au (0.000, 0.000, 0.000)
Gd (0.586, 0.000, 0.000)
Gd (0.414, 0.414, 0.000)
Gd (0.000, 0.586, 0.000)
Mg (0.241, 0.000, 0.500)
Mg (0.000, 0.241, 0.500)
Mg (0.759, 0.759, 0.500)

---

Here is a relaxed TcCl crystal from the Open Quantum Materials Database. Energies are from GGA-PBE.

Output
Uncorrected energy (eV/atom): -4.8819

a b c (Å): 3.709 3.709 3.709
angles (deg): 60.00 60.00 60.00
Last column: magnetic moment on the atom in μB.
Fractional coordinates of all 2 atoms:
Cl (0.000, 0.000, 0.000)  0.08
Tc (0.500, 0.500, 0.500)  2.62

---

Here is a relaxed Na2SnPd3 crystal from the Open Quantum Materials Database. Energies are from GGA-PBE.

Output
Uncorrected energy (eV/atom): -4.0938

a b c (Å): 5.350 5.350 5.350
angles (deg): 63.84 63.84 63.84
Fractional coordinates of all 6 atoms:
Na (0.379, 0.379, 0.379)
Na (0.621, 0.621, 0.621)
Pd (0.500, 0.000, 0.000)
Pd (0.000, 0.500, 0.000)
Pd (0.000, 0.000, 0.500)
Sn (0.000, 0.000, 0.000)

---

Here is a relaxed Ba2TaPbS6 crystal from the Open Quantum Materials Database. Energies are from GGA-PBE.

Output
Uncorrected energy (eV/atom): -5.5652

a b c (Å): 14.356 14.356 14.356
angles (deg): 27.95 27.95 27.95
Fractional coordinates of all 20 atoms:
Ba (0.140, 0.140, 0.140)
Ba (0.307, 0.307, 0.307)
Ba (0.693, 0.693, 0.693)
Ba (0.860, 0.860, 0.860)
Pb (0.416, 0.416, 0.416)
Pb (0.584, 0.584, 0.584)
S (0.630, 0.630, 0.133)
S (0.704, 0.199, 0.199)
S (0.199, 0.704, 0.199)
S (0.801, 0.801, 0.296)
S (0.370, 0.867, 0.370)
S (0.867, 0.370, 0.370)
S (0.133, 0.630, 0.630)
S (0.630, 0.133, 0.630)
S (0.199, 0.199, 0.704)
S (0.801, 0.296, 0.801)
S (0.296, 0.801, 0.801)
S (0.370, 0.370, 0.867)
Ta (0.000, 0.000, 0.000)
Ta (0.500, 0.500, 0.500)

---

Here is a relaxed Ni3S5 crystal from the Open Quantum Materials Database. Energies are from GGA-PBE.

Output
Uncorrected energy (eV/atom): -4.8102

a b c (Å): 5.831 5.831 14.502
angles (deg): 90.00 90.00 146.54
Fractional coordinates of all 16 atoms:
Ni (0.719, 0.281, 0.098)
Ni (0.195, 0.805, 0.250)
Ni (0.719, 0.281, 0.402)
Ni (0.281, 0.719, 0.598)
Ni (0.805, 0.195, 0.750)
Ni (0.281, 0.719, 0.902)
S (0.343, 0.657, 0.051)
S (0.087, 0.913, 0.129)
S (0.820, 0.180, 0.250)
S (0.087, 0.913, 0.371)
S (0.343, 0.657, 0.449)
S (0.657, 0.343, 0.551)
S (0.913, 0.087, 0.629)
S (0.180, 0.820, 0.750)
S (0.913, 0.087, 0.871)
S (0.657, 0.343, 0.949)

---

Here is a relaxed LaPmSi3 crystal from the Open Quantum Materials Database. Energies are from GGA-PBE.

Output
Uncorrected energy (eV/atom): -5.9160

a b c (Å): 12.681 12.681 4.007
angles (deg): 90.00 90.00 159.85
Fractional coordinates of all 10 atoms:
La (0.430, 0.570, 0.250)
La (0.570, 0.430, 0.750)
Pm (0.702, 0.298, 0.250)
Pm (0.298, 0.702, 0.750)
Si (0.824, 0.176, 0.250)
Si (0.119, 0.881, 0.250)
Si (0.025, 0.975, 0.250)
Si (0.975, 0.025, 0.750)
Si (0.881, 0.119, 0.750)
Si (0.176, 0.824, 0.750)

---

Here is a relaxed ScZnFeNi crystal from the Open Quantum Materials Database. Energies are from GGA-PBE.

Output
Uncorrected energy (eV/atom): -5.4269
Calculated formation energy (eV/atom): -0.06

a b c (Å): 4.323 4.323 4.323
angles (deg): 60.00 60.00 60.00
Last column: magnetic moment on the atom in μB.
Fractional coordinates of all 4 atoms:
Fe (0.750, 0.750, 0.750)  2.48
Ni (0.500, 0.500, 0.500)  0.58
Sc (0.000, 0.000, 0.000)  -0.14
Zn (0.250, 0.250, 0.250)  -0.02

---

Here is a relaxed LuSi2Ge crystal from the Open Quantum Materials Database. Energies are from GGA-PBE.

Output
Uncorrected energy (eV/atom): -4.8569

a b c (Å): 4.770 4.770 4.770
angles (deg): 60.00 60.00 60.00
Fractional coordinates of all 4 atoms:
Ge (0.500, 0.500, 0.500)
Lu (0.250, 0.250, 0.250)
Si (0.000, 0.000, 0.000)
Si (0.750, 0.750, 0.750)

---

Here is a relaxed Y2Hf4Tl3N3 crystal from the Open Quantum Materials Database. Energies are from GGA-PBE.

Output
Uncorrected energy (eV/atom): -8.0405

a b c (Å): 5.874 5.874 15.127
angles (deg): 101.29 101.29 59.97
Fractional coordinates of all 24 atoms:
Hf (0.693, 0.851, 0.077)
Hf (0.018, 0.201, 0.077)
Hf (0.799, 0.982, 0.423)
Hf (0.149, 0.307, 0.423)
Hf (0.851, 0.693, 0.577)
Hf (0.201, 0.018, 0.577)
Hf (0.982, 0.799, 0.923)
Hf (0.307, 0.149, 0.923)
N (0.675, 0.150, 0.000)
N (0.000, 0.500, 0.000)
N (0.325, 0.850, 0.000)
N (0.150, 0.675, 0.500)
N (0.500, 0.000, 0.500)
N (0.850, 0.325, 0.500)
Tl (0.416, 0.209, 0.248)
Tl (0.044, 0.956, 0.250)
Tl (0.791, 0.584, 0.252)
Tl (0.209, 0.416, 0.748)
Tl (0.956, 0.044, 0.750)
Tl (0.584, 0.791, 0.752)
Y (0.371, 0.532, 0.094)
Y (0.468, 0.629, 0.406)
Y (0.532, 0.371, 0.594)
Y (0.629, 0.468, 0.906)

---

Here is a relaxed ReGeOs crystal from the Open Quantum Materials Database. Energies are from GGA-PBE.

Output
Uncorrected energy (eV/atom): -9.0715

a b c (Å): 4.179 4.179 4.179
angles (deg): 60.00 60.00 60.00
Fractional coordinates of all 3 atoms:
Ge (0.250, 0.250, 0.250)
Os (0.750, 0.750, 0.750)
Re (0.000, 0.000, 0.000)

---

Here is a relaxed BaPrS2 crystal from the Open Quantum Materials Database. Energies are from GGA-PBE.

Output
Uncorrected energy (eV/atom): -5.6672

a b c (Å): 4.313 4.313 6.087
angles (deg): 90.00 90.00 90.00
Fractional coordinates of all 4 atoms:
Ba (0.000, 0.000, 0.000)
Pr (0.500, 0.500, 0.500)
S (0.500, 0.500, 0.000)
S (0.000, 0.000, 0.500)